# GGA-PBEsol Sc2SbP, relaxed
data_Sc2SbP
_cell_length_a 7.2846
_cell_length_b 7.2846
_cell_length_c 6.3986
_cell_angle_alpha 90.00
_cell_angle_beta 90.00
_cell_angle_gamma 90.00
_symmetry_space_group_name_H-M 'I -4 2 d'
_symmetry_Int_Tables_number 122
_symmetry_space_group_name_Hall 'I -4 2bw'
loop_
_atom_site_label
_atom_site_fract_x
_atom_site_fract_y
_atom_site_fract_z
Sc1 0.2156 0.2500 0.1250
Sb1 0.0000 0.0000 0.5000
P1 0.0000 0.0000 0.0000
# raw formation energy = -0.845 eV/atom
# mass density = 4.75 Mg/m³
# DOS(E_F) = 0.46 states/eV per atom